Record 1
Computed, not measured: an optimized crystal structure of PrDy2Sn at the PBE level of DFT.

```
PrDy2Sn
1.0
2.7397 1.5818 4.4816
-2.7397 1.5818 4.4816
0.0000 -3.1636 4.4816
Pr Dy Sn
1 2 1
Cartesian
0.0000 0.0000 0.0000
0.0000 0.0000 3.3561
0.0000 0.0000 6.7206
0.0000 0.0000 10.0855
```

Calculated values
space-group type	R3m (160)
calculated formation energy	-0.2443	eV per atom
density of states at the Fermi level	6.65	states/eV per cell


Record 2
Computed, not measured: an optimized crystal structure of Tb3DyTm2 at the PBE level of DFT.

```
Tb3DyTm2
1.0
8.6416 -3.5266 0.0000
8.6416 3.5266 0.0000
-0.0108 0.0000 6.0991
Tb Dy Tm
6 2 4
Cartesian
8.6336 2.6476 4.5743
5.7465 0.8837 3.5604
5.7519 -0.8837 0.5108
11.5206 0.8837 5.5883
11.5260 -0.8837 2.5387
8.6389 -2.6476 1.5248
8.6389 0.8826 1.5248
8.6336 -0.8826 4.5743
2.8760 0.8804 5.5913
2.8814 -0.8804 2.5417
14.3911 0.8804 3.5574
14.3965 -0.8804 0.5078
```

Calculated values
space-group type	C2/c (15)
calculated formation energy	0.0204	eV per atom
density of states at the Fermi level	16.53	states/eV per cell


Record 3
Computed, not measured: an optimized crystal structure of KLaSb2 at the PBE level of DFT.

```
KLaSb2
1.0
0.0000 3.9648 3.9648
3.9648 0.0000 3.9648
3.9648 3.9648 0.0000
K La Sb
1 1 2
Cartesian
0.0000 0.0000 0.0000
1.9824 1.9824 1.9824
3.9648 3.9648 3.9648
5.9472 5.9472 5.9472
```

Calculated values
space-group type	F-43m (216)
density of states at the Fermi level	2.29	states/eV per cell
ΔE_f (raw)	-0.22	eV/atom


Record 4
Computed, not measured: an optimized crystal structure of CeCo2Ge at the PBE level of DFT.

```
CeCo2Ge
1.0
3.7983 0.0000 0.0000
0.0000 3.7983 0.0000
0.0000 0.0000 9.2675
Ce Co Ge
2 4 2
Cartesian
0.9496 0.9496 1.8362
2.8487 2.8487 7.4313
0.9496 0.9496 8.3667
0.9496 2.8487 4.6338
2.8487 0.9496 4.6338
2.8487 2.8487 0.9008
0.9496 0.9496 5.9722
2.8487 2.8487 3.2954
```

Calculated values
space-group type	P4/nmm (129)
calculated formation energy	-0.3077	eV per atom
density of states at the Fermi level	5.61	states/eV per cell


Record 5
Computed, not measured: an optimized crystal structure of KMg14Ni at the PBE level of DFT.

```
KMg14Ni
1.0
10.4587 0.0000 0.0000
0.0000 3.1622 5.6336
0.0000 -3.1622 5.6336
K Mg Ni
1 14 1
Cartesian
0.0000 0.0000 0.0000
0.0000 -1.5034 2.8546
0.0000 1.5034 2.8546
2.1858 0.0000 7.0560
2.6196 -1.5372 4.3835
2.6196 1.5372 4.3835
2.7912 0.0000 1.6400
5.2293 0.0000 5.3776
5.2293 -1.5409 8.1865
5.2293 1.5409 8.1865
5.2293 0.0000 10.9705
7.6675 0.0000 1.6400
7.8391 -1.5372 4.3835
7.8391 1.5372 4.3835
8.2729 0.0000 7.0560
0.0000 0.0000 5.0819
```

Calculated values
space-group type	Amm2 (38)
calculated formation energy	0.1146	eV per atom
density of states at the Fermi level	6.11	states/eV per cell


Record 6
Computed, not measured: an optimized crystal structure of HfBeNiIr at the PBE level of DFT.

```
HfBeNiIr
1.0
0.0000 3.0383 3.0383
3.0383 0.0000 3.0383
3.0383 3.0383 0.0000
Hf Be Ni Ir
1 1 1 1
Cartesian
0.0000 0.0000 0.0000
3.0383 3.0383 3.0383
4.5574 4.5574 4.5574
1.5191 1.5191 1.5191
```

Calculated values
space-group type	F-43m (216)
calculated formation energy	-0.5246	eV per atom
density of states at the Fermi level	2.45	states/eV per cell


Record 7
Computed, not measured: an optimized crystal structure of Sr2ReP at the PBE level of DFT.

```
Sr2ReP
1.0
-2.3826 2.3826 4.3419
2.3826 -2.3826 4.3419
2.3826 2.3826 -4.3419
Sr Re P
2 1 1
Cartesian
2.3826 0.0000 2.1709
0.0000 2.3826 2.1709
0.0000 0.0000 0.0000
0.0000 0.0000 4.3419
```

Calculated values
space-group type	I4/mmm (139)
calculated formation energy	0.6385	eV per atom
density of states at the Fermi level	4.05	states/eV per cell


Record 8
Computed, not measured: an optimized crystal structure of YRe2Sb at the PBE level of DFT.

```
YRe2Sb
1.0
3.1433 0.0000 0.0000
0.0000 4.3414 0.0000
-1.1174 0.0000 5.8984
Y Re Sb
1 2 1
Cartesian
0.0000 0.0000 0.0000
0.9180 0.0000 2.6639
1.9798 2.1707 1.8775
0.3828 2.1707 4.3299
```

Calculated values
space-group type	Pm (6)
density of states at the Fermi level	2.88	states/eV per cell
ΔE_f (raw)	0.22	eV/atom


Record 9
Computed, not measured: an optimized crystal structure of Sm2InAgTe5 at the PBE level of DFT.

```
Sm2InAgTe5
1.0
2.1733 -9.6258 0.0000
2.1733 9.6258 0.0000
0.0000 0.0000 12.9819
Sm In Ag Te
4 2 2 10
Cartesian
2.1733 7.2780 6.4909
2.1733 7.2648 11.3724
2.1733 -7.2648 4.8815
2.1733 -7.2780 0.0000
2.1733 1.7872 8.7528
2.1733 -1.7872 2.2619
2.1733 5.4387 2.5337
2.1733 -5.4387 9.0246
2.1733 8.9474 3.6921
2.1733 3.9187 11.1607
2.1733 3.9106 6.8017
2.1733 2.6372 2.4764
2.1733 0.2125 6.2825
2.1733 -0.2125 12.7734
2.1733 -2.6372 8.9674
2.1733 -3.9106 0.3107
2.1733 -3.9187 4.6698
2.1733 -8.9474 10.1830
```

Calculated values
space-group type	Cmc2_1 (36)
ΔE_f (raw)	-0.83	eV/atom


Record 10
Computed, not measured: an optimized crystal structure of CrOs2Rh at the PBE level of DFT.

```
CrOs2Rh
1.0
1.3478 0.7782 8.7430
-1.3478 0.7782 8.7430
0.0000 -1.5563 8.7430
Cr Os Rh
1 2 1
Cartesian
0.0000 0.0000 0.0000
0.0000 0.0000 6.6358
0.0000 0.0000 19.5931
0.0000 0.0000 13.1144
```

Calculated values
space-group type	R-3m (166)
calculated formation energy	0.0966	eV per atom
density of states at the Fermi level	4.76	states/eV per cell


Record 11
Computed, not measured: an optimized crystal structure of HfBiI at the PBE level of DFT.

```
HfBiI
1.0
7.3214 -2.2465 0.0000
7.3214 2.2465 0.0000
-4.6680 0.0000 7.1489
Hf Bi I
2 2 2
Cartesian
-0.1827 0.0000 3.3201
10.1574 0.0000 3.8287
1.9264 0.0000 5.3926
8.0483 0.0000 1.7562
-2.0444 0.0000 5.4962
12.0192 0.0000 1.6527
```

Calculated values
space-group type	C2/m (12)
density of states at the Fermi level	0.51	states/eV per cell
ΔE_f (raw)	-0.19	eV/atom


Record 12
Computed, not measured: an optimized crystal structure of CaTaPdC2 at the PBE level of DFT.

```
CaTaPdC2
1.0
4.2652 0.0000 0.0000
0.0000 4.2652 0.0000
0.0000 0.0000 4.6498
Ca Ta Pd C
1 1 1 2
Cartesian
0.0000 0.0000 0.0000
2.1326 2.1326 2.3249
0.0000 0.0000 2.3249
0.0000 2.1326 0.0000
2.1326 0.0000 0.0000
```

Calculated values
space-group type	P4/mmm (123)
calculated formation energy	2.6359	eV per atom
density of states at the Fermi level	3.13	states/eV per cell


Record 13
Computed, not measured: an optimized crystal structure of MoRhSeBr2 at the PBE level of DFT.

```
MoRhSeBr2
1.0
5.0125 0.0000 0.0000
0.0000 5.0125 0.0000
0.0000 0.0000 4.9641
Mo Rh Se Br
1 1 1 2
Cartesian
0.0000 0.0000 0.0000
2.5063 2.5063 2.4821
2.5063 2.5063 0.0000
0.0000 2.5063 2.4821
2.5063 0.0000 2.4821
```

Calculated values
space-group type	P4/mmm (123)
density of states at the Fermi level	4.89	states/eV per cell
ΔE_f (raw)	0.74	eV/atom


Record 14
Computed, not measured: an optimized crystal structure of MgP2HO at the PBE level of DFT.

```
MgP2HO
1.0
4.9297 0.0000 0.0000
0.0000 4.9297 0.0000
0.0000 0.0000 3.6567
Mg P H O
1 2 1 1
Cartesian
0.0000 0.0000 0.0000
0.0000 2.4648 0.0000
2.4648 0.0000 0.0000
2.4648 2.4648 1.8284
0.0000 0.0000 1.8284
```

Calculated values
space-group type	P4/mmm (123)
density of states at the Fermi level	3.78	states/eV per cell
raw total energy	-3.191	eV/atom


Record 15
Computed, not measured: an optimized crystal structure of ZrOs2Se at the PBE level of DFT.

```
ZrOs2Se
1.0
-1.8988 1.8988 4.6606
1.8988 -1.8988 4.6606
1.8988 1.8988 -4.6606
Zr Os Se
1 2 1
Cartesian
0.0000 0.0000 0.0000
1.8988 0.0000 2.3303
0.0000 1.8988 2.3303
0.0000 0.0000 4.6606
```

Calculated values
space-group type	I4/mmm (139)
density of states at the Fermi level	4.13	states/eV per cell
ΔE_f (raw)	0.20	eV/atom


Record 16
Computed, not measured: an optimized crystal structure of BeBP at the PBE level of DFT.

```
BeBP
1.0
3.2273 0.0000 0.0000
0.6617 4.5715 0.0000
1.3693 0.0520 4.9061
Be B P
2 2 2
Cartesian
0.5847 1.1035 1.4015
4.6736 3.5200 3.5046
1.7270 1.7378 4.3476
3.5313 2.8856 0.5585
1.9180 3.6028 1.3897
3.3403 1.0207 3.5164
```

Calculated values
space-group type	P-1 (2)
calculated formation energy	0.0277	eV per atom
density of states at the Fermi level	0.44	states/eV per cell


Record 17
Computed, not measured: an optimized crystal structure of Rb4Tb3YSe8 at the PBE level of DFT.

```
Rb4Tb3YSe8
1.0
4.2559 2.4572 7.9972
-4.2559 2.4572 7.9972
0.0000 -4.9143 7.9972
Rb Tb Y Se
4 3 1 8
Cartesian
0.0000 0.0000 0.0000
-2.1280 -1.2286 7.9972
-2.1280 1.2286 15.9945
0.0000 2.4572 7.9972
-4.2559 0.0000 11.9958
-2.1280 1.2286 3.9986
2.1280 1.2286 3.9986
0.0000 0.0000 11.9959
0.0000 0.0000 5.5684
-2.1241 -1.2264 13.5640
0.0000 -2.4527 10.4277
-2.1241 1.2264 10.4277
2.1241 -1.2264 13.5640
0.0000 2.4527 13.5640
2.1241 1.2264 10.4277
0.0000 0.0000 18.4234
```

Calculated values
space-group type	R-3m (166)
density of states at the Fermi level	0.00	states/eV per cell
ΔE_f (raw)	-1.74	eV/atom


Record 18
Computed, not measured: an optimized crystal structure of Hg5Sb at the PBE level of DFT.

```
Hg5Sb
1.0
5.7663 -1.7095 0.0000
5.7663 1.7095 0.0000
-5.4538 0.0000 8.2262
Hg Sb
5 1
Cartesian
0.0000 0.0000 0.0000
-2.4631 0.0000 8.1252
2.9319 0.0000 5.3770
5.9222 0.0000 2.7012
8.9361 0.0000 2.6396
-0.0410 0.0000 5.4702
```

Calculated values
space-group type	Cm (8)
density of states at the Fermi level	1.96	states/eV per cell
ΔE_f (raw)	0.08	eV/atom


Record 19
Computed, not measured: an optimized crystal structure of NaZnMo2 at the PBE level of DFT.

```
NaZnMo2
1.0
-1.8696 1.8696 10.3314
1.8696 -1.8696 10.3314
1.8696 1.8696 -10.3314
Na Zn Mo
2 2 4
Cartesian
0.0000 0.0000 0.0000
0.0000 1.8696 5.1657
1.8696 0.0000 5.1657
0.0000 0.0000 10.3314
0.9348 -0.8134 7.7485
1.0562 0.9348 2.5828
0.9348 2.6830 -2.5828
0.8134 0.9348 12.9142
```

Calculated values
space-group type	I-42d (122)
calculated formation energy	0.9087	eV per atom
density of states at the Fermi level	5.01	states/eV per cell


Record 20
Computed, not measured: an optimized crystal structure of K4Na2CdHg2 at the PBE level of DFT.

```
K4Na2CdHg2
1.0
6.7407 0.0000 0.0000
-1.4555 8.0553 0.0000
-0.9708 -3.9518 7.1681
K Na Cd Hg
4 2 1 2
Cartesian
0.0431 1.9977 0.3887
-0.1479 4.8852 3.7470
4.4624 -0.7818 3.4211
4.2714 2.1058 6.7794
0.9731 1.2313 4.7286
3.3414 2.8722 2.4395
3.3704 0.0000 0.0000
1.8624 5.1540 0.7632
2.4521 -1.0506 6.4049
```

Calculated values
space-group type	P-1 (2)
calculated formation energy	-0.1116	eV per atom
density of states at the Fermi level	5.15	states/eV per cell